First-principles (PBE-GGA) data for an optimized crystal structure of LiSmAgPt, as listed in Alexandria.

For the formation energy, the calculation gives -532 meV/atom. Its density of states at the Fermi level is 0.846 states/eV per atom. Its total magnetic moment is 0.00 μB/atom.

The space group is F-43m (No. 216) and the conventional cell measures 6.887, 6.887 and 6.887 Å, with angles of 90.00, 90.00 and 90.00 degrees. The inequivalent atoms are Li at (0.000, 0.000, 0.000), Sm at (0.000, 0.000, 0.500), Ag at (0.250, 0.250, 0.750) and Pt at (0.250, 0.250, 0.250).

---

First-principles (PBE-GGA) data for an optimized crystal structure of Ac6ZnOs2Cl3, as listed in Alexandria.

For the formation energy from raw total energies, the calculation gives -0.88 eV/atom. Its density of states at the Fermi level is 0.520 states/eV per atom. Its total magnetic moment is 0.00 μB/atom.

The space group is C2/m (No. 12) and the conventional cell measures 7.613, 13.215 and 8.347 Å, with angles of 90.00, 107.36 and 90.00 degrees. The inequivalent atoms are Ac at (0.208, 0.000, 0.206), Ac at (0.247, 0.321, 0.206), Zn at (0.000, 0.500, 0.000), Os at (0.000, 0.166, 0.000), Cl at (0.000, 0.000, 0.500) and Cl at (0.000, 0.326, 0.500).

---

First-principles (PBE-GGA) data for an optimized crystal structure of ZrSc2NbAl, as listed in Alexandria.

For the formation energy, the calculation gives 1067 meV/atom. Its density of states at the Fermi level is 1.179 states/eV per atom. Its total magnetic moment is 0.14 μB/atom.

The space group is P4/mmm (No. 123) and the conventional cell measures 5.141, 5.141 and 4.842 Å, with angles of 90.00, 90.00 and 90.00 degrees. The inequivalent atoms are Zr at (0.000, 0.000, 0.000), Sc at (0.000, 0.500, 0.000), Nb at (0.000, 0.000, 0.500) and Al at (0.500, 0.500, 0.500).

---

First-principles (PBE-GGA) data for an optimized crystal structure of LiPm6Co2, as listed in Alexandria.

For the formation energy, the calculation gives -58 meV/atom. Its density of states at the Fermi level is 0.978 states/eV per atom. Its total magnetic moment is 0.00 μB/atom.

The space group is Immm (No. 71) and the conventional cell measures 9.583, 9.926 and 10.144 Å, with angles of 90.00, 90.00 and 90.00 degrees. The inequivalent atoms are Li at (0.000, 0.000, 0.000), Li at (0.000, 0.000, 0.500), Pm at (0.000, 0.200, 0.230), Pm at (0.184, 0.500, 0.180), Pm at (0.216, 0.319, 0.500), Co at (0.000, 0.333, 0.000) and Co at (0.000, 0.500, 0.387).

---

First-principles (PBE-GGA) data for an optimized crystal structure of Rb3NdSc2S6, as listed in Alexandria.

For the formation energy from raw total energies, the calculation gives -1.73 eV/atom. Its density of states at the Fermi level is 0.000 states/eV per atom. Its total magnetic moment is 0.00 μB/atom.

The space group is C2/m (No. 12) and the conventional cell measures 6.915, 11.977 and 7.994 Å, with angles of 90.00, 106.82 and 90.00 degrees. The inequivalent atoms are Rb at (0.000, 0.000, 0.000), Rb at (0.000, 0.337, 0.000), Nd at (0.000, 0.500, 0.500), Sc at (0.000, 0.167, 0.500), S at (0.208, 0.000, 0.687) and S at (0.240, 0.323, 0.688).

---

First-principles (PBE-GGA) data for an optimized crystal structure of LiHoInRh, as listed in Alexandria.

For the formation energy, the calculation gives -554 meV/atom. Its density of states at the Fermi level is 1.041 states/eV per atom. Its total magnetic moment is 0.00 μB/atom.

The space group is F-43m (No. 216) and the conventional cell measures 6.714, 6.714 and 6.714 Å, with angles of 90.00, 90.00 and 90.00 degrees. The inequivalent atoms are Li at (0.000, 0.000, 0.000), Ho at (0.250, 0.250, 0.750), In at (0.250, 0.250, 0.250) and Rh at (0.000, 0.000, 0.500).